An optimized crystal structure of GaBi5Pt4, computed with GGA-PBE.

Output
* DFT formation energy: -2.70 eV/f.u.

Lattice parameters (Å, degrees): 4.2103 7.0776 9.3400 113.13 103.03 90.00
Closest atoms and distances in Å follow each position.
Element x y z (fractional)
Ga: 0.5000 0.0000 0.0000  6 Pt 2.59-2.60
Bi: 0.8536 0.7323 0.7071  4 Pt 2.82-3.13
Bi: 0.8134 0.2121 0.6269  4 Pt 2.83-3.13
Bi: 0.1866 0.7879 0.3731  4 Pt 2.83-3.13
Bi: 0.5000 0.5000 0.0000  4 Pt 2.97
Bi: 0.1464 0.2677 0.2929  4 Pt 2.82-3.13
Pt: 0.3599 0.0174 0.7197  1 Ga 2.60, 5 Bi 2.83-2.91
Pt: 0.0185 0.8112 0.0370  2 Ga 2.59, 1 Bi 2.82
Pt: 0.6401 0.9826 0.2803  1 Ga 2.60, 5 Bi 2.83-2.91
Pt: 0.9815 0.1888 0.9630  2 Ga 2.59, 1 Bi 2.82

An optimized crystal structure of CsLaSnSe3, computed with GGA-PBE.

Output
* energy relative to the elements, uncorrected: -1.36 eV/atom

Lattice parameters (Å, degrees): 4.3677 9.3543 11.9740 108.14 90.00 90.00
Closest atoms and distances in Å follow each position.
Element x y z (fractional)
Cs: 0.7500 0.7598 0.7265  5 Se 3.66-3.82, 1 Sn 3.92
Cs: 0.2500 0.2402 0.2735  5 Se 3.66-3.82, 1 Sn 3.92
La: 0.2500 0.6476 0.1502  6 Se 2.98-3.07
La: 0.7500 0.3524 0.8498  6 Se 2.98-3.07
Sn: 0.2500 0.1358 0.5660  3 Se 2.67-2.82
Sn: 0.7500 0.8642 0.4340  3 Se 2.67-2.82
Se: 0.2500 0.6669 0.4106  2 Sn 2.82, 1 La 3.07
Se: 0.7500 0.8901 0.2182  1 Sn 2.67
Se: 0.7500 0.4181 0.1095  3 La 2.98-2.99
Se: 0.7500 0.3331 0.5894  2 Sn 2.82, 1 La 3.07
Se: 0.2500 0.5819 0.8905  3 La 2.98-2.99
Se: 0.2500 0.1099 0.7818  1 Sn 2.67

An optimized crystal structure of CaAg4Pd, computed with GGA-PBE.

Output
* DFT formation energy: -0.80 eV/f.u.
* polymorph energy (0 for the lowest one): 61.5 meV/atom

Lattice parameters (Å, degrees): 4.1458 7.3630 8.3921 90.00 104.30 90.00
Closest atoms and distances in Å follow each position.
Element x y z (fractional)
Ca: 0.1273 0.2500 0.2546  2 Pd 2.96, 5 Ag 3.16-3.18
Ca: 0.8727 0.7500 0.7454  2 Pd 2.96, 5 Ag 3.16-3.18
Ag: 0.5000 0.5000 0.0000  6 Ag 2.80-2.98
Ag: 0.5000 0.0000 0.0000  6 Ag 2.80-2.98
Ag: 0.6701 0.9402 0.3402  3 Pd 2.68-2.77, 4 Ag 2.80-3.00
Ag: 0.3299 0.0598 0.6598  3 Pd 2.68-2.77, 4 Ag 2.80-3.00
Ag: 0.3299 0.4402 0.6598  3 Pd 2.68-2.77, 4 Ag 2.80-3.00
Ag: 0.6701 0.5598 0.3402  3 Pd 2.68-2.77, 4 Ag 2.80-3.00
Ag: 0.0680 0.7500 0.1361  1 Pd 2.84, 8 Ag 2.98-3.00, 1 Ca 3.18
Ag: 0.9320 0.2500 0.8639  1 Pd 2.84, 8 Ag 2.98-3.00, 1 Ca 3.18
Pd: 0.2429 0.7500 0.4859  7 Ag 2.68-2.84, 2 Ca 2.96
Pd: 0.7571 0.2500 0.5141  7 Ag 2.68-2.84, 2 Ca 2.96

An optimized crystal structure of Y2VGaMo, computed with GGA-PBE.

Output
* DFT formation energy: 5.15 eV/f.u.

Lattice parameters (Å, degrees): 5.3264 5.3264 4.5978 90.00 90.00 90.00
Closest atoms and distances in Å follow each position.
Element x y z (fractional)
Y: 0.0000 0.5000 0.0000  2 Ga 2.66
Y: 0.5000 0.0000 0.0000  2 Ga 2.66
Mo: 0.5000 0.5000 0.5000  8 Y 3.52, 4 V 3.77
Ga: 0.0000 0.0000 0.0000  2 V 2.30
V: 0.0000 0.0000 0.5000  2 Ga 2.30

An optimized crystal structure of DyMn9B4, computed with GGA-PBE.

Output
* DFT formation energy: -1.39 eV/f.u.

Lattice parameters (Å, degrees): 7.2889 7.2889 7.6329 118.52 118.52 90.00
Closest atoms and distances in Å follow each position.
Element x y z (fractional)
Dy: 0.7500 0.7500 0.5000  16 Mn 2.95-3.18, 8 B 3.05
Dy: 0.2500 0.2500 0.5000  16 Mn 2.95-3.18, 8 B 3.05
Mn: 0.0808 0.1874 0.0000  3 Mn 2.10-2.35, 2 B 2.35
Mn: 0.9192 0.8126 0.0000  3 Mn 2.10-2.35, 2 B 2.35
Mn: 0.5808 0.3126 0.0000  3 Mn 2.10-2.35, 2 B 2.35
Mn: 0.4192 0.6874 0.0000  3 Mn 2.10-2.35, 2 B 2.35
Mn: 0.3126 0.4192 0.0000  3 Mn 2.10-2.35, 2 B 2.35
Mn: 0.6874 0.5808 0.0000  3 Mn 2.10-2.35, 2 B 2.35
Mn: 0.1874 0.9192 0.0000  3 Mn 2.10-2.35, 2 B 2.35
Mn: 0.8126 0.0808 0.0000  3 Mn 2.10-2.35, 2 B 2.35
Mn: 0.0000 0.5000 0.0000  4 B 2.23, 8 Mn 2.35-2.45
Mn: 0.5000 0.0000 0.0000  4 B 2.23, 8 Mn 2.35-2.45
Mn: 0.8130 0.3130 0.3620  4 B 2.17-2.26
Mn: 0.5491 0.0491 0.3620  4 B 2.17-2.26
Mn: 0.9509 0.1870 0.6380  4 B 2.17-2.26
Mn: 0.6870 0.4509 0.6380  4 B 2.17-2.26
Mn: 0.1870 0.6870 0.6380  4 B 2.17-2.26
Mn: 0.4509 0.9509 0.6380  4 B 2.17-2.26
Mn: 0.3130 0.5491 0.3620  4 B 2.17-2.26
Mn: 0.0491 0.8130 0.3620  4 B 2.17-2.26
B: 0.2930 0.7930 0.2552  7 Mn 2.17-2.35
B: 0.9622 0.4622 0.2552  7 Mn 2.17-2.35
B: 0.5378 0.7070 0.7448  7 Mn 2.17-2.35
B: 0.2070 0.0378 0.7448  7 Mn 2.17-2.35
B: 0.7070 0.2070 0.7448  7 Mn 2.17-2.35
B: 0.0378 0.5378 0.7448  7 Mn 2.17-2.35
B: 0.7930 0.9622 0.2552  7 Mn 2.17-2.35
B: 0.4622 0.2930 0.2552  7 Mn 2.17-2.35

An optimized crystal structure of Cr4SiNi, computed with GGA-PBE.

Output
* energy relative to the elements, uncorrected: 0.26 eV/atom

Lattice parameters (Å, degrees): 4.6750 4.6750 4.6750 60.00 60.00 60.00
Closest atoms and distances in Å follow each position.
Element x y z (fractional)
Cr: 0.8743 0.3752 0.3752  6 Cr 2.33-2.34
Cr: 0.3752 0.3752 0.8743  6 Cr 2.33-2.34
Cr: 0.3752 0.8743 0.3752  6 Cr 2.33-2.34
Cr: 0.3752 0.3752 0.3752  6 Cr 2.33-2.34
Si: 0.0000 0.0000 0.0000  12 Cr 2.74, 4 Ni 2.86
Ni: 0.7500 0.7500 0.7500  12 Cr 2.74, 4 Si 2.86

An optimized crystal structure of Ce2Nd2Rh3, computed with GGA-PBE.

Output
* DFT formation energy: -4.47 eV/f.u.

Lattice parameters (Å, degrees): 7.6094 7.6094 7.6094 109.47 109.47 109.47
Closest atoms and distances in Å follow each position.
Element x y z (fractional)
Ce: 0.0000 0.0000 0.8879  3 Rh 2.80
Ce: 0.5000 0.8879 0.5000  3 Rh 2.80
Ce: 0.1121 0.6121 0.6121  3 Rh 2.80
Ce: 0.3879 0.5000 0.0000  3 Rh 2.80
Nd: 0.5000 0.3797 0.5000  3 Rh 2.83
Nd: 0.0000 0.0000 0.3797  3 Rh 2.83
Nd: 0.6203 0.1203 0.1203  3 Rh 2.83
Nd: 0.8797 0.5000 0.0000  3 Rh 2.83
Rh: 0.7500 0.6260 0.3760  2 Ce 2.80, 2 Nd 2.83
Rh: 0.2500 0.8740 0.1240  2 Ce 2.80, 2 Nd 2.83
Rh: 0.6240 0.7500 0.8740  2 Ce 2.80, 2 Nd 2.83
Rh: 0.8760 0.2500 0.6260  2 Ce 2.80, 2 Nd 2.83
Rh: 0.3740 0.1240 0.7500  2 Ce 2.80, 2 Nd 2.83
Rh: 0.1260 0.3760 0.2500  2 Ce 2.80, 2 Nd 2.83

An optimized crystal structure of Ac2GeIr3, computed with GGA-PBE.

Output
* DFT formation energy: -3.72 eV/f.u.

Lattice parameters (Å, degrees): 4.4753 4.2399 7.7172 90.00 90.00 90.00
Closest atoms and distances in Å follow each position.
Element x y z (fractional)
Ac: 0.0000 0.5000 0.9987  10 Ir 3.32-3.46, 2 Ge 3.43
Ac: 0.0000 0.0000 0.5152  8 Ir 3.27-3.55, 4 Ge 3.38
Ge: 0.5000 0.5000 0.3361  3 Ir 2.47-2.52
Ir: 0.5000 0.0000 0.8352  3 Ir 2.49-2.53
Ir: 0.5000 0.0000 0.1584  1 Ir 2.49, 2 Ge 2.52
Ir: 0.5000 0.5000 0.6564  1 Ge 2.47, 2 Ir 2.53

An optimized crystal structure of FeNi2W, computed with GGA-PBE.

Output
* DFT formation energy: -0.07 eV/f.u.
* polymorph energy (0 for the lowest one): 0.0 meV/atom

Lattice parameters (Å, degrees): 4.5494 4.5494 4.5494 133.82 133.91 67.30
Closest atoms and distances in Å follow each position.
Element x y z (fractional)
Ni: 0.0000 0.0000 0.0000  4 Ni 2.52, 4 Fe 2.60, 4 W 2.60
Ni: 0.5000 0.5000 0.0000  4 Ni 2.52, 4 Fe 2.60, 4 W 2.60
Fe: 0.2500 0.7500 0.5000  4 W 2.52, 8 Ni 2.60
W: 0.7500 0.2500 0.5000  4 Fe 2.52, 8 Ni 2.60

An optimized crystal structure of La3PmEr2Te6, computed with GGA-PBE.

Output
* energy relative to the elements, uncorrected: -1.44 eV/atom

Lattice parameters (Å, degrees): 7.7157 7.7157 7.8206 99.45 99.45 120.23
Closest atoms and distances in Å follow each position.
Element x y z (fractional)
La: 0.1611 0.8389 0.5000  6 Te 3.23-3.25
La: 0.8389 0.1611 0.5000  6 Te 3.23-3.25
La: 0.5000 0.5000 0.5000  6 Te 3.19-3.25
Pm: 0.0000 0.0000 0.0000  6 Te 3.14-3.16
Er: 0.3331 0.6669 0.0000  6 Te 3.06-3.07
Er: 0.6669 0.3331 0.0000  6 Te 3.06-3.07
Te: 0.9215 0.5796 0.7642  2 Er 3.07, 1 Pm 3.16, 3 La 3.23-3.25
Te: 0.7348 0.7348 0.2305  2 Er 3.06, 1 Pm 3.14, 3 La 3.19-3.23
Te: 0.0785 0.4204 0.2358  2 Er 3.07, 1 Pm 3.16, 3 La 3.23-3.25
Te: 0.5796 0.9215 0.7642  2 Er 3.07, 1 Pm 3.16, 3 La 3.23-3.25
Te: 0.2652 0.2652 0.7695  2 Er 3.06, 1 Pm 3.14, 3 La 3.19-3.23
Te: 0.4204 0.0785 0.2358  2 Er 3.07, 1 Pm 3.16, 3 La 3.23-3.25

An optimized crystal structure of CrPH3, computed with GGA-PBE.

Output
* polymorph energy (0 for the lowest one): 449.3 meV/atom

Lattice parameters (Å, degrees): 3.2990 3.2990 3.2990 90.00 90.00 90.00
Closest atoms and distances in Å follow each position.
Element x y z (fractional)
Cr: 0.5000 0.5000 0.5000  12 H 2.33
H: 0.0000 0.5000 0.0000  2 P 1.65
H: 0.0000 0.0000 0.5000  2 P 1.65
H: 0.5000 0.0000 0.0000  2 P 1.65
P: 0.0000 0.0000 0.0000  6 H 1.65

An optimized crystal structure of AcSn2Ru2, computed with GGA-PBE.

Output
* DFT formation energy: -1.85 eV/f.u.
* polymorph energy (0 for the lowest one): 0.0 meV/atom

Lattice parameters (Å, degrees): 4.6341 4.6341 6.3580 111.38 111.38 89.98
Closest atoms and distances in Å follow each position.
Element x y z (fractional)
Ac: 0.5000 0.5000 0.5000  8 Ru 3.58, 10 Sn 3.60-3.95
Sn: 0.1375 0.1375 0.7750  4 Ru 2.62
Sn: 0.8625 0.8625 0.2250  4 Ru 2.62
Ru: 0.7500 0.2500 0.0000  4 Sn 2.62
Ru: 0.2500 0.7500 0.0000  4 Sn 2.62